The following is a DFT calculation (GGA-PBEsol) of crystalline Sc2BO at its relaxed geometry.

Cell lengths 7.338, 7.338, 7.338 Å; angles 24.78, 24.78, 24.78 degrees
Fractional coordinates of all 4 atoms:
Sc 0.109 0.109 0.109
Sc 0.891 0.891 0.891
B 0.000 0.000 0.000
O 0.500 0.500 0.500

Output
excess energy over the best structure of this formula in the dataset	593	meV/atom
E_form (uncorrected)	-647	meV/atom
calculated density	3.18	g/cm³